Record 1
Material: Pm2ErCd2
Method: DFT, PBE
State: relaxed

Cell: 3.7468 5.3672 14.2229 Å, 90.00 97.56 90.00°
Site moments in Bohr magnetons follow the coordinates.
Fractional coordinates of all 10 atoms:
Cd 0.4424 0.7500 0.8853  0.00
Cd 0.5576 0.2500 0.1147  0.00
Er 0.8500 0.7500 0.7007  0.01
Cd 0.3614 0.2500 0.7224  0.00
Pm 0.9557 0.2500 0.9125  0.09
Pm 0.7662 0.2500 0.5306  0.01
Cd 0.6386 0.7500 0.2776  0.00
Er 0.1500 0.2500 0.2993  0.01
Pm 0.2338 0.7500 0.4694  0.01
Pm 0.0443 0.7500 0.0875  0.09

## Properties
Space group: P2_1/m (11)
Energy of formation from the pure elements: -0.25 eV/atom

---

Record 2
Material: PmPr3Sm2Dy6
Method: DFT, PBE
State: relaxed

Cell: 6.2656 6.2656 11.8696 Å, 95.03 95.03 120.00°
Fractional coordinates of all 12 atoms:
Dy 0.9173 0.5839 0.7519
Dy 0.0827 0.4161 0.2481
Pr 0.8332 0.1668 0.5000
Dy 0.2508 0.2508 0.7519
Sm 0.3334 0.6666 0.0000
Pm 0.0000 0.0000 0.0000
Pr 0.5000 0.5000 0.5000
Sm 0.6666 0.3334 0.0000
Dy 0.7492 0.7492 0.2481
Pr 0.1668 0.8332 0.5000
Dy 0.5839 0.9173 0.7519
Dy 0.4161 0.0827 0.2481

## Properties
Space group: C2/m (12)
Energy of formation from the pure elements: 0.01 eV/atom

---

Record 3
Material: Fe2WSe
Method: DFT, PBE
State: relaxed

Cell: 4.4492 4.4492 4.4928 Å, 84.27 84.27 39.46°
Site moments in Bohr magnetons follow the coordinates.
Fractional coordinates of all 4 atoms:
Fe 0.4895 0.4895 0.5153  1.81
W 0.7500 0.7500 0.7500  -0.30
Fe 0.0105 0.0105 0.9847  1.81
Se 0.2500 0.2500 0.2500  0.01

## Properties
Space group: C2/m (12)

---

Record 4
Material: Ce2MoN
Method: DFT, PBE
State: relaxed

Cell: 3.3832 3.3832 8.1423 Å, 78.01 78.01 60.00°
Fractional coordinates of all 4 atoms:
Mo 0.0000 0.0000 0.0000
N 0.5000 0.5000 0.5000
Ce 0.1045 0.1045 0.6866
Ce 0.8955 0.8955 0.3134

## Properties
Space group: R-3m (166)

---

Record 5
Material: GdScInTc
Method: DFT, PBE
State: relaxed

Cell: 4.9583 4.9583 4.9583 Å, 60.00 60.00 60.00°
Site moments in Bohr magnetons follow the coordinates.
Fractional coordinates of all 4 atoms:
In 0.7500 0.7500 0.7500  0.01
Gd 0.5000 0.5000 0.5000  7.04
Tc 0.2500 0.2500 0.2500  -0.09
Sc 0.0000 0.0000 0.0000  0.00

## Properties
Space group: F-43m (216)
Energy of formation from the pure elements: -0.17 eV/atom

---

Record 6
Material: AsIrRh4
Method: DFT, PBE
State: relaxed

Cell: 5.1111 5.1111 5.1111 Å, 60.00 60.00 60.00°
Fractional coordinates of all 6 atoms:
Rh 0.6256 0.6256 0.6256
Rh 0.6256 0.1232 0.6256
As 0.2500 0.2500 0.2500
Rh 0.6256 0.6256 0.1232
Ir 0.0000 0.0000 0.0000
Rh 0.1232 0.6256 0.6256

## Properties
Space group: F-43m (216)
Energy of formation from the pure elements: 0.57 eV/atom

---

Record 7
Material: Rb2Be2H
Method: DFT, PBE
State: relaxed

Cell: 8.8046 8.8046 4.2863 Å, 90.00 90.00 90.00°
Fractional coordinates of all 10 atoms:
Rb 0.2050 0.7050 0.5000
Be 0.4138 0.9138 0.0000
Rb 0.2950 0.2050 0.5000
H 0.5000 0.5000 0.0000
Be 0.0862 0.4138 0.0000
Be 0.5862 0.0862 0.0000
Rb 0.7050 0.7950 0.5000
H 0.0000 0.0000 0.0000
Be 0.9138 0.5862 0.0000
Rb 0.7950 0.2950 0.5000

## Properties
Space group: P4/mbm (127)

---

Record 8
Material: Mg6ZnGa8
Method: DFT, PBE
State: relaxed

Cell: 7.2612 7.2612 7.2612 Å, 64.07 64.07 64.07°
Fractional coordinates of all 15 atoms:
Ga 0.1377 0.6658 0.8135
Ga 0.8623 0.3342 0.1865
Ga 0.3342 0.1865 0.8623
Mg 0.9390 0.4577 0.7358
Mg 0.5423 0.2642 0.0610
Ga 0.6658 0.8135 0.1377
Ga 0.8135 0.1377 0.6658
Mg 0.4577 0.7358 0.9390
Ga 0.1865 0.8623 0.3342
Mg 0.0610 0.5423 0.2642
Mg 0.2642 0.0610 0.5423
Zn 0.0000 0.0000 0.0000
Ga 0.5809 0.5809 0.5809
Ga 0.4191 0.4191 0.4191
Mg 0.7358 0.9390 0.4577

## Properties
Space group: R-3 (148)
Energy of formation from the pure elements: -0.04 eV/atom

---

Record 9
Material: Ho8ZnRu2
Method: DFT, PBE
State: relaxed

Cell: 5.4830 7.7286 7.7286 Å, 112.24 97.96 97.96°
Fractional coordinates of all 11 atoms:
Ho 0.9995 0.2451 0.7617
Zn 0.0073 0.0025 0.0025
Ho 0.8038 0.6249 0.6249
Ru 0.4989 0.6907 0.3154
Ho 0.1947 0.3804 0.3804
Ru 0.4989 0.3154 0.6907
Ho 0.5852 0.3332 0.0701
Ho 0.9995 0.7617 0.2451
Ho 0.4134 0.6735 0.9364
Ho 0.4134 0.9364 0.6735
Ho 0.5852 0.0701 0.3332

## Properties
Space group: Cm (8)
Energy of formation from the pure elements: -0.19 eV/atom

---

Record 10
Material: TlInSeF2
Method: DFT, PBE
State: relaxed

Cell: 4.4860 4.4860 5.3387 Å, 90.00 90.00 90.00°
Fractional coordinates of all 5 atoms:
Tl 0.5000 0.5000 0.5000
Se 0.0000 0.0000 0.5000
F 0.0000 0.5000 0.0000
In 0.0000 0.0000 0.0000
F 0.5000 0.0000 0.0000

## Properties
Space group: P4/mmm (123)

---

Record 11
Material: Ca6Hg5Bi
Method: DFT, PBE
State: relaxed

Cell: 5.4099 9.3755 9.3755 Å, 120.11 106.77 106.77°
Fractional coordinates of all 12 atoms:
Hg 0.5000 0.1709 0.8291
Ca 0.2526 0.0842 0.4214
Hg 0.0000 0.6658 0.3342
Ca 0.7474 0.9158 0.5786
Hg 0.5000 0.8291 0.1709
Bi 0.0000 0.0000 0.0000
Hg 0.5000 0.5000 0.5000
Ca 0.2526 0.4214 0.0842
Hg 0.0000 0.3342 0.6658
Ca 0.7563 0.2562 0.2562
Ca 0.2437 0.7438 0.7438
Ca 0.7474 0.5786 0.9158

## Properties
Space group: Immm (71)
Energy of formation from the pure elements: -0.61 eV/atom

---

Record 12
Material: AcTbReO6
Method: DFT, PBE
State: relaxed

Cell: 5.5933 5.5934 5.2602 Å, 90.01 90.00 60.00°
Site moments in Bohr magnetons follow the coordinates.
Fractional coordinates of all 9 atoms:
O 0.6163 0.3408 0.7106  0.02
Ac 0.9999 0.0000 0.0001  0.03
O 0.6163 0.0428 0.2894  0.02
Tb 0.6666 0.6667 0.5001  0.02
O 0.3407 0.0429 0.7106  0.02
O 0.3409 0.6163 0.2894  0.02
O 0.0429 0.6165 0.7105  0.02
O 0.0428 0.3408 0.2894  0.02
Re 0.3333 0.3333 0.5000  0.74

## Properties
Space group: P312 (149)

---

Computed values of total DFT energy (no corrections) (unit: eV/atom) for the preceding records, in sequence: -3.43, -4.67, -7.91, -7.95, -8.55, -6.58, -1.45, -2.38, -5.32, -3.94, -2.06, -8.29.
Computed values of total magnetic moment (unit: μB per formula unit) for the preceding records, in sequence: 0.19, 0.00, 3.24, 0.00, 7.10, 0.00, 0.00, 0.00, 0.00, 0.00, 0.00, 1.01.